1.
PBE YAs2P, relaxed; calculated formation energy = -0.18 eV per atom; DFT total energy = -5.48 eV per atom
1.0
0.000 3.456 3.456
3.456 0.000 3.456
3.456 3.456 0.000
Y As P
1 2 1
Direct
0.000 0.000 0.000
0.250 0.250 0.250
0.500 0.500 0.500
0.750 0.750 0.750



2.
PBE YAsP, relaxed; calculated formation energy = -0.46 eV per atom; DFT total energy = -5.97 eV per atom
1.0
0.000 3.255 3.255
3.255 0.000 3.255
3.255 3.255 0.000
Y As P
1 1 1
Direct
0.000 0.000 0.000
0.500 0.500 0.500
0.250 0.250 0.250



3.
PBE Y5As4P, relaxed; calculated formation energy = -1.57 eV per atom; DFT total energy = -7.20 eV per atom
1.0
-4.589 4.589 2.903
4.589 -4.589 2.903
4.589 4.589 -2.903
Y As P
5 4 1
Direct
0.000 0.000 0.000
0.204 0.599 0.803
0.401 0.204 0.606
0.599 0.796 0.394
0.796 0.401 0.197
0.099 0.300 0.399
0.300 0.901 0.201
0.700 0.099 0.799
0.901 0.700 0.601
0.500 0.500 0.000



4.
PBE Y3AsP2, relaxed; calculated formation energy = -1.60 eV per atom; DFT total energy = -7.41 eV per atom
1.0
-2.026 2.026 8.593
2.026 -2.026 8.593
2.026 2.026 -8.593
Y As P
3 1 2
Direct
0.000 0.000 0.000
0.331 0.331 0.000
0.669 0.669 0.000
0.500 0.500 0.000
0.167 0.167 0.000
0.833 0.833 0.000



5.
PBE Y6As5P, relaxed; calculated formation energy = -1.57 eV per atom; DFT total energy = -7.19 eV per atom
1.0
3.559 -6.161 0.000
3.559 6.161 0.000
-2.372 0.000 6.706
Y As P
6 5 1
Direct
0.082 0.411 0.747
0.246 0.246 0.252
0.411 0.082 0.747
0.589 0.918 0.253
0.754 0.754 0.748
0.918 0.589 0.253
0.168 0.832 0.000
0.333 0.667 0.500
0.500 0.500 0.000
0.667 0.333 0.500
0.832 0.168 0.000
0.000 0.000 0.500



6.
PBE YAsP4, relaxed; calculated formation energy = 0.02 eV per atom; DFT total energy = -5.44 eV per atom
1.0
0.000 3.762 3.762
3.762 0.000 3.762
3.762 3.762 0.000
Y As P
1 1 4
Direct
0.000 0.000 0.000
0.750 0.750 0.750
0.389 0.389 0.389
0.389 0.389 0.833
0.389 0.833 0.389
0.833 0.389 0.389



7.
PBE YAs2P, relaxed; calculated formation energy = -0.18 eV per atom; DFT total energy = -5.47 eV per atom
1.0
2.023 -2.734 0.000
2.023 2.734 0.000
0.000 0.000 7.586
Y As P
1 2 1
Direct
0.000 0.000 0.000
0.000 0.000 0.457
0.500 0.500 0.732
0.500 0.500 0.238



8.
PBE Y3As2P, relaxed; calculated formation energy = -1.58 eV per atom; DFT total energy = -7.26 eV per atom
1.0
0.000 5.783 12.261
4.088 0.000 12.261
4.088 5.783 0.000
Y As P
12 8 4
Direct
0.041 0.540 0.204
0.119 0.631 0.631
0.204 0.715 0.041
0.285 0.796 0.460
0.369 0.881 0.881
0.460 0.959 0.285
0.540 0.041 0.715
0.631 0.119 0.119
0.715 0.204 0.540
0.796 0.285 0.959
0.881 0.369 0.369
0.959 0.460 0.796
0.125 0.125 0.625
0.292 0.292 0.458
0.375 0.375 0.875
0.458 0.458 0.292
0.542 0.542 0.708
0.625 0.625 0.125
0.708 0.708 0.542
0.875 0.875 0.375
0.042 0.042 0.208
0.208 0.208 0.042
0.792 0.792 0.958
0.958 0.958 0.792



9.
PBE YAs2P, relaxed; calculated formation energy = -0.65 eV per atom; DFT total energy = -5.95 eV per atom
1.0
5.413 -1.892 0.000
5.413 1.892 0.000
-0.286 0.000 4.192
Y As P
1 2 1
Direct
0.000 0.000 0.000
0.565 0.565 0.513
0.790 0.790 0.468
0.282 0.282 0.086



10.
PBE Y2AsP2, relaxed; calculated formation energy = -0.97 eV per atom; DFT total energy = -6.65 eV per atom
1.0
7.473 0.000 0.000
0.000 7.473 0.000
0.000 0.000 3.777
Y As P
4 2 4
Direct
0.161 0.339 0.000
0.339 0.839 0.000
0.661 0.161 0.000
0.839 0.661 0.000
0.000 0.000 0.500
0.500 0.500 0.500
0.149 0.649 0.500
0.351 0.149 0.500
0.649 0.851 0.500
0.851 0.351 0.500



11.
PBE YAs2P, relaxed; calculated formation energy = -0.19 eV per atom; DFT total energy = -5.48 eV per atom
1.0
-3.056 3.056 6.065
3.056 -3.056 6.065
3.056 3.056 -6.065
Y As P
2 4 2
Direct
0.000 0.000 0.000
0.750 0.250 0.500
0.175 0.625 0.050
0.375 0.425 0.550
0.575 0.125 0.950
0.875 0.825 0.450
0.250 0.750 0.500
0.500 0.500 0.000



12.
PBE YAs2P, relaxed; calculated formation energy = -0.51 eV per atom; DFT total energy = -5.80 eV per atom
1.0
4.218 0.000 0.000
0.000 3.852 0.000
-1.949 0.000 5.254
Y As P
1 2 1
Direct
0.000 0.000 0.000
0.335 0.500 0.761
0.665 0.500 0.239
0.500 0.000 0.500



- Which value of calculated formation energy does entry 12 give?
  -0.51 eV per atom



- Which value of calculated formation energy does entry 4 give?
  -1.60 eV per atom



- Look up the calculated formation energy of the fifth one.
  -1.57 eV per atom



- Which value of DFT total energy does entry 5 give?
  -7.19 eV per atom